Entry 1:
# YCoSb2 PBE optimized geometry
data_YCoSb2
_cell_length_a 3.255
_cell_length_b 3.255
_cell_length_c 8.971
_cell_angle_alpha 90.00
_cell_angle_beta 90.00
_cell_angle_gamma 90.00
_space_group_name_H-M_alt 'P 4 m m'
_space_group_IT_number 99
loop_
_space_group_symop_operation_xyz
'x,y,z'
'-y,x,z'
'-x,-y,z'
'y,-x,z'
'-x,y,z'
'y,x,z'
'x,-y,z'
'-y,-x,z'
loop_
_atom_site_label
_atom_site_type_symbol
_atom_site_fract_x
_atom_site_fract_y
_atom_site_fract_z
Y1 Y 0.000 0.000 0.000
Co1 Co 0.500 0.500 0.211
Sb1 Sb 0.000 0.000 0.365
Sb2 Sb 0.500 0.500 0.735
# Uncorrected energy = -5.664 eV per atom
# Fermi-level density of states = 0.518 states/eV/atom

=====

Entry 2:
# YCo3Sb PBE optimized geometry
data_YCo3Sb
_cell_length_a 4.685
_cell_length_b 4.685
_cell_length_c 4.685
_cell_angle_alpha 90.00
_cell_angle_beta 90.00
_cell_angle_gamma 90.00
_space_group_name_H-M_alt 'P m -3 m'
_space_group_IT_number 221
_space_group_name_Hall '-P 4 2 3'
loop_
_atom_site_label
_atom_site_type_symbol
_atom_site_fract_x
_atom_site_fract_y
_atom_site_fract_z
Y1 Y 0.000 0.000 0.000
Co1 Co 0.000 0.000 0.500
Sb1 Sb 0.500 0.500 0.500
# Uncorrected energy = -4.906 eV per atom
# Fermi-level density of states = 0.459 states/eV/atom
# Relative energy among the computed polymorphs = 964.2 meV per atom

=====

Entry 3:
# Y4CoSb PBE optimized geometry
data_Y4CoSb
_cell_length_a 6.074
_cell_length_b 6.536
_cell_length_c 8.567
_cell_angle_alpha 90.00
_cell_angle_beta 109.73
_cell_angle_gamma 90.00
_space_group_name_H-M_alt 'P 1 21/m 1'
_space_group_IT_number 11
loop_
_space_group_symop_operation_xyz
'x,y,z'
'-x,-y,-z'
'-x,y+1/2,-z'
'x,-y+1/2,z'
loop_
_atom_site_label
_atom_site_type_symbol
_atom_site_fract_x
_atom_site_fract_y
_atom_site_fract_z
Y1 Y 0.013 0.001 0.205
Y2 Y 0.404 0.750 0.623
Y3 Y 0.443 0.750 0.091
Co1 Co 0.261 0.250 0.069
Sb1 Sb 0.204 0.250 0.547
# Uncorrected energy = -6.642 eV per atom
# Fermi-level density of states = 1.027 states/eV/atom
# Relative energy among the computed polymorphs = 0.0 meV per atom

=====

Entry 4:
# YCoSb2 PBE optimized geometry
data_YCoSb2
_cell_length_a 7.155
_cell_length_b 7.155
_cell_length_c 7.155
_cell_angle_alpha 90.00
_cell_angle_beta 90.00
_cell_angle_gamma 90.00
_space_group_name_H-M_alt 'F -4 3 m'
_space_group_IT_number 216
_space_group_name_Hall 'F -4 2 3'
loop_
_atom_site_label
_atom_site_type_symbol
_atom_site_fract_x
_atom_site_fract_y
_atom_site_fract_z
Y1 Y 0.000 0.000 0.000
Co1 Co 0.250 0.250 0.750
Sb1 Sb 0.000 0.000 0.500
Sb2 Sb 0.250 0.250 0.250
# Uncorrected energy = -5.403 eV per atom
# Fermi-level density of states = 0.786 states/eV/atom

=====

Entry 5:
# YCoSb2 PBE optimized geometry
data_YCoSb2
_cell_length_a 7.141
_cell_length_b 4.113
_cell_length_c 6.554
_cell_angle_alpha 90.00
_cell_angle_beta 111.11
_cell_angle_gamma 90.00
_space_group_name_H-M_alt 'C 1 2/m 1'
_space_group_IT_number 12
loop_
_space_group_symop_operation_xyz
'x,y,z'
'-x,-y,-z'
'-x,y,-z'
'x,-y,z'
'x+1/2,y+1/2,z'
'-x+1/2,-y+1/2,-z'
'-x+1/2,y+1/2,-z'
'x+1/2,-y+1/2,z'
loop_
_atom_site_label
_atom_site_type_symbol
_atom_site_fract_x
_atom_site_fract_y
_atom_site_fract_z
Y1 Y 0.000 0.000 0.000
Co1 Co 0.000 0.500 0.500
Sb1 Sb 0.228 0.000 0.683
# Uncorrected energy = -5.872 eV per atom
# Fermi-level density of states = 0.257 states/eV/atom

=====

Entry 6:
# Y2CoSb PBE optimized geometry
data_Y2CoSb
_cell_length_a 3.573
_cell_length_b 3.733
_cell_length_c 7.019
_cell_angle_alpha 90.00
_cell_angle_beta 90.07
_cell_angle_gamma 90.00
_space_group_name_H-M_alt 'P 1 2/m 1'
_space_group_IT_number 10
loop_
_space_group_symop_operation_xyz
'x,y,z'
'-x,-y,-z'
'-x,y,-z'
'x,-y,z'
loop_
_atom_site_label
_atom_site_type_symbol
_atom_site_fract_x
_atom_site_fract_y
_atom_site_fract_z
Y1 Y 0.000 0.000 0.230
Co1 Co 0.500 0.500 0.000
Sb1 Sb 0.500 0.500 0.500
# Uncorrected energy = -6.459 eV per atom
# Fermi-level density of states = 0.536 states/eV/atom

=====

| no. | total moment (μB per atom) |
| --- | --- |
| 1 | 0.1786 |
| 2 | 0.5870 |
| 3 | 0.0000 |
| 4 | 0.3307 |
| 5 | 0.0000 |
| 6 | 0.2257 |